1.
A relaxed AlReO3 crystal, computed with PBE-GGA.

a b c (Å): 3.6586 3.6586 3.6586
angles (deg): 90.00 90.00 90.00
Space group Pm-3m (No. 221)
Inequivalent atoms, fractional coordinates:
Al 0.0000 0.0000 0.0000 x1
Re 0.5000 0.5000 0.5000 x1
O 0.0000 0.0000 0.5000 x3

## Properties
Uncorrected energy in eV/atom: -7.11

2.
A relaxed Nd2ThTe3 crystal, computed with PBE-GGA.

a b c (Å): 4.4811 6.3473 13.4869
angles (deg): 90.00 90.00 90.00
Space group Immm (No. 71)
Inequivalent atoms, fractional coordinates:
Nd 0.0000 0.0000 0.1695 x4
Th 0.0000 0.0000 0.5000 x2
Te 0.0000 0.5000 0.1657 x4
Te 0.0000 0.5000 0.5000 x2

## Properties
Uncorrected energy in eV/atom: -5.67

3.
A relaxed B3AuO crystal, computed with PBE-GGA.

a b c (Å): 4.0960 4.0960 4.0960
angles (deg): 90.00 90.00 90.00
Space group Pm-3m (No. 221)
Inequivalent atoms, fractional coordinates:
B 0.0000 0.0000 0.5000 x3
Au 0.0000 0.0000 0.0000 x1
O 0.5000 0.5000 0.5000 x1

## Properties
Polymorph energy (0 for the lowest one) in eV per formula unit: 0.85
Uncorrected energy in eV/atom: -3.89

4.
A relaxed FeCoRh2 crystal, computed with PBE-GGA.

a b c (Å): 4.2358 4.2358 10.4006
angles (deg): 90.00 90.00 120.00
Space group R3m (No. 160, hexagonal axes)
Inequivalent atoms, fractional coordinates:
Fe 0.0000 0.0000 0.0000 x3
Co 0.0000 0.0000 0.2502 x3
Rh 0.0000 0.0000 0.5001 x3
Rh 0.0000 0.0000 0.7496 x3

## Properties
DFT formation energy in eV per atom: 0.1942
Uncorrected energy in eV/atom: -7.37

5.
A relaxed BaTlTeCl crystal, computed with PBE-GGA.

a b c (Å): 8.1618 8.1618 8.1618
angles (deg): 90.00 90.00 90.00
Space group F-43m (No. 216)
Inequivalent atoms, fractional coordinates:
Ba 0.0000 0.0000 0.0000 x4
Tl 0.0000 0.0000 0.5000 x4
Te 0.2500 0.2500 0.2500 x4
Cl 0.2500 0.2500 0.7500 x4

## Properties
Uncorrected energy in eV/atom: -3.69

6.
A relaxed Pm4RuAu3 crystal, computed with PBE-GGA.

a b c (Å): 3.5966 3.5966 14.9479
angles (deg): 90.00 90.00 90.00
Space group P4/mmm (No. 123)
Inequivalent atoms, fractional coordinates:
Pm 0.0000 0.0000 0.1145 x2
Pm 0.0000 0.0000 0.3714 x2
Ru 0.5000 0.5000 0.0000 x1
Au 0.5000 0.5000 0.2455 x2
Au 0.5000 0.5000 0.5000 x1

## Properties
DFT formation energy in eV per atom: -0.6397
Uncorrected energy in eV/atom: -5.40

7.
A relaxed AcPrEr2 crystal, computed with PBE-GGA.

a b c (Å): 3.7114 3.7114 35.2059
angles (deg): 90.00 90.00 120.00
Space group R-3m (No. 166, hexagonal axes)
Inequivalent atoms, fractional coordinates:
Ac 0.0000 0.0000 0.0000 x3
Pr 0.0000 0.0000 0.5000 x3
Er 0.0000 0.0000 0.2482 x6

## Properties
DFT formation energy in eV per atom: 0.0473
Polymorph energy (0 for the lowest one) in eV per formula unit: 0.01
Uncorrected energy in eV/atom: -4.46

8.
A relaxed TbNpNi10 crystal, computed with PBE-GGA.

a b c (Å): 3.9623 4.8680 8.4283
angles (deg): 90.00 90.00 90.00
Space group Pmmm (No. 47)
Inequivalent atoms, fractional coordinates:
Tb 0.0000 0.0000 0.0000 x1
Np 0.0000 0.5000 0.5000 x1
Ni 0.0000 0.0000 0.3366 x2
Ni 0.0000 0.5000 0.1724 x2
Ni 0.5000 0.0000 0.5000 x1
Ni 0.5000 0.2521 0.2525 x4
Ni 0.5000 0.5000 0.0000 x1

## Properties
DFT formation energy in eV per atom: -0.2290
Uncorrected energy in eV/atom: -6.51

9.
A relaxed U2PaSb crystal, computed with PBE-GGA.

a b c (Å): 4.4581 4.4581 4.5533
angles (deg): 90.00 90.00 90.00
Space group P4/mmm (No. 123)
Inequivalent atoms, fractional coordinates:
U 0.0000 0.5000 0.0000 x2
Pa 0.0000 0.0000 0.5000 x1
Sb 0.5000 0.5000 0.5000 x1

## Properties
Polymorph energy (0 for the lowest one) in eV per formula unit: 0.00
Uncorrected energy in eV/atom: -9.22

10.
A relaxed PmPr2Ga crystal, computed with PBE-GGA.

a b c (Å): 7.7881 7.7881 7.7881
angles (deg): 90.00 90.00 90.00
Space group Fm-3m (No. 225)
Inequivalent atoms, fractional coordinates:
Pm 0.0000 0.0000 0.0000 x4
Pr 0.2500 0.2500 0.2500 x8
Ga 0.0000 0.0000 0.5000 x4

## Properties
DFT formation energy in eV per atom: -0.0691
Polymorph energy (0 for the lowest one) in eV per formula unit: 0.68
Uncorrected energy in eV/atom: -4.40

11.
A relaxed TaSiBr crystal, computed with PBE-GGA.

a b c (Å): 6.3499 6.3499 6.3499
angles (deg): 90.00 90.00 90.00
Space group F-43m (No. 216)
Inequivalent atoms, fractional coordinates:
Ta 0.0000 0.0000 0.0000 x4
Si 0.2500 0.2500 0.7500 x4
Br 0.0000 0.0000 0.5000 x4

## Properties
Uncorrected energy in eV/atom: -5.28

12.
A relaxed Tb3CuSi2Pt9 crystal, computed with PBE-GGA.

a b c (Å): 5.6575 5.6575 10.7459
angles (deg): 90.00 90.00 120.00
Space group P-3m1 (No. 164)
Inequivalent atoms, fractional coordinates:
Tb 0.0000 0.0000 0.0000 x1
Tb 0.3333 0.6667 0.5792 x2
Cu 0.0000 0.0000 0.5000 x1
Si 0.3333 0.6667 0.1648 x2
Pt 0.0000 0.5000 0.0000 x3
Pt 0.1626 0.3252 0.3187 x6

## Properties
Uncorrected energy in eV/atom: -6.37